The following is a PBE-GGA calculation of crystalline BaSr3Rh at its relaxed geometry, from Alexandria via LeMat-Bulk.

Calculated values
Uncorrected energy, eV/atom: -3.049
Formation energy, meV/atom: -185
SG: P2_1 (4)
Distance to the lowest polymorph of the same formula, meV/atom: 0

Cell lengths 7.122, 8.595, 8.663 Å; angles 119.71, 90.00, 90.00 degrees
Fractional positions:
1 Rh 0.556 0.038 0.484
2 Rh 0.056 0.541 0.490
3 Sr 0.307 0.214 0.333
4 Sr 0.307 0.709 0.333
5 Sr 0.807 0.364 0.642
6 Sr 0.807 0.869 0.642
7 Sr 0.831 0.377 0.162
8 Sr 0.331 0.201 0.813
9 Ba 0.784 0.876 0.162
10 Ba 0.284 0.702 0.813